Record 1
First-principles (PBE) data for RbSb3Pt3 after structural relaxation, as listed in the Alexandria database.

Structure (CIF):
```
data_RbSb3Pt3
_chemical_formula_sum 'Rb2 Sb6 Pt6'
_cell_length_a 7.421
_cell_length_b 7.421
_cell_length_c 7.421
_cell_angle_alpha 90.00
_cell_angle_beta 90.00
_cell_angle_gamma 90.00
_space_group_name_H-M_alt 'P m -3 n'
_space_group_IT_number 223
_space_group_name_Hall '-P 4n 2 3'
loop_
_atom_site_label
_atom_site_fract_x
_atom_site_fract_y
_atom_site_fract_z
Rb1 0.000 0.000 0.000
Sb1 0.000 0.250 0.500
Pt1 0.000 0.500 0.250
```

As for the uncorrected formation energy: -355.2 meV per atom. The calculation puts the total DFT energy (no corrections) at -67.9 eV/cell. The volume comes out at 29.2 A^3/atom. For the density of states at the Fermi level, the calculation gives 14.9 states/eV/cell. As for the size of the total moment: 0.00 μB per cell. The calculation puts the relative energy among the computed polymorphs at 30 meV/atom.


Record 2
First-principles (PBE) data for Rb2Sb5Pt3 after structural relaxation, as listed in the Alexandria database.

Structure (CIF):
```
data_Rb2Sb5Pt3
_chemical_formula_sum 'Rb8 Sb20 Pt12'
_cell_length_a 10.876
_cell_length_b 14.015
_cell_length_c 7.047
_cell_angle_alpha 90.00
_cell_angle_beta 90.00
_cell_angle_gamma 90.00
_space_group_name_H-M_alt 'I b a m'
_space_group_IT_number 72
_space_group_name_Hall '-I 2 2c'
loop_
_atom_site_label
_atom_site_fract_x
_atom_site_fract_y
_atom_site_fract_z
Rb1 0.248 0.133 0.000
Sb1 0.000 0.258 0.250
Sb2 0.000 0.500 0.250
Sb3 0.137 0.102 0.500
Pt1 0.000 0.000 0.250
Pt2 0.111 0.377 0.000
```

As for the uncorrected formation energy: -383.8 meV per atom. The calculation puts the total DFT energy (no corrections) at -178.0 eV/cell. The volume comes out at 26.9 A^3/atom. For the density of states at the Fermi level, the calculation gives 16.0 states/eV/cell. As for the size of the total moment: 0.00 μB per cell.


Record 3
First-principles (PBE) data for Rb6Sb2Pt after structural relaxation, as listed in the Alexandria database.

Structure (CIF):
```
data_Rb6Sb2Pt
_chemical_formula_sum 'Rb18 Sb6 Pt3'
_cell_length_a 6.2868
_cell_length_b 6.2868
_cell_length_c 33.4223
_cell_angle_alpha 90.00
_cell_angle_beta 90.00
_cell_angle_gamma 120.00
_space_group_name_H-M_alt 'R -3 m'
_space_group_IT_number 166
_space_group_name_Hall '-R 3 2"'
loop_
_atom_site_label
_atom_site_fract_x
_atom_site_fract_y
_atom_site_fract_z
Rb1 0.0000 0.0000 0.0818
Rb2 0.0000 0.0000 0.1944
Rb3 0.0000 0.0000 0.3089
Sb1 0.0000 0.0000 0.4200
Pt1 0.0000 0.0000 0.5000
```

As for the uncorrected formation energy: -309.0 meV per atom. The calculation puts the total DFT energy (no corrections) at -68.6 eV/cell. The volume comes out at 42.4 A^3/atom. For the density of states at the Fermi level, the calculation gives 14.1 states/eV/cell. As for the size of the total moment: 0.00 μB per cell.